[1]
A relaxed CrCd2Ag crystal, computed with GGA-PBEsol.

abc: 4.108 4.174 4.174
angles: 90.00 90.00 90.00
Site moments in Bohr magnetons follow the coordinates.
Fractional positions:
Ag  0.500  0.000  0.000  0.00
Cd  0.000  0.000  0.500  -0.02
Cd  0.000  0.500  0.000  -0.02
Cr  0.500  0.500  0.500  3.59

Computed properties:
magnetic moment = 0.963 μB per atom
volume = 17.89 Å³ per atom
calculated formation energy = 273.2 meV/atom
total DFT energy (no corrections) = -3.7136 eV/atom
calculated density = 8.926 g/cm³

[2]
A relaxed ZrAlRh crystal, computed with GGA-PBEsol.

abc: 5.259 5.259 8.165
angles: 90.00 90.00 119.36
Fractional positions:
Zr  0.334  0.666  0.291
Zr  0.669  0.331  0.176
Zr  0.669  0.331  0.824
Zr  0.334  0.666  0.709
Al  0.994  0.006  0.244
Al  0.994  0.006  0.756
Al  0.347  0.168  0.500
Al  0.832  0.653  0.500
Rh  0.832  0.168  0.500
Rh  0.661  0.831  0.000
Rh  0.169  0.339  0.000
Rh  0.166  0.834  0.000

Computed properties:
magnetic moment = 0.000 μB per atom
volume = 16.40 Å³ per atom
calculated formation energy = -779.0 meV/atom
total DFT energy (no corrections) = -7.8856 eV/atom
calculated density = 7.460 g/cm³

[3]
A relaxed TaGa3S crystal, computed with GGA-PBEsol.

abc: 5.019 5.019 5.019
angles: 90.00 90.00 90.00
Site moments in Bohr magnetons follow the coordinates.
Fractional positions:
S  0.500  0.500  0.500  0.14
Ga  0.000  0.500  0.000  0.02
Ga  0.000  0.000  0.500  0.02
Ga  0.500  0.000  0.000  0.02
Ta  0.000  0.000  0.000  0.27

Computed properties:
magnetic moment = 0.148 μB per atom
volume = 25.29 Å³ per atom
total DFT energy (no corrections) = -4.4211 eV/atom
ΔE_f (raw) = 0.97 eV/atom
calculated density = 5.544 g/cm³

[4]
A relaxed Bi3BRh crystal, computed with GGA-PBEsol.

abc: 5.204 5.204 5.204
angles: 90.00 90.00 90.00
Fractional positions:
B  0.500  0.500  0.500
Rh  0.000  0.000  0.000
Bi  0.000  0.500  0.000
Bi  0.000  0.000  0.500
Bi  0.500  0.000  0.000

Computed properties:
magnetic moment = 0.000 μB per atom
volume = 28.19 Å³ per atom
calculated formation energy = 1222.8 meV/atom
total DFT energy (no corrections) = -4.3794 eV/atom
ΔE to the lowest computed polymorph = 266 meV per atom
calculated density = 8.725 g/cm³

[5]
A relaxed SrNi2Rh crystal, computed with GGA-PBEsol.

abc: 2.823 2.823 9.049
angles: 81.03 81.03 60.00
Site moments in Bohr magnetons follow the coordinates.
Fractional positions:
Ni  0.239  0.239  0.282  0.40
Ni  0.761  0.761  0.718  0.40
Rh  0.500  0.500  0.500  0.43
Sr  0.000  0.000  0.000  -0.02

Computed properties:
magnetic moment = 0.289 μB per atom
volume = 15.36 Å³ per atom
calculated formation energy = 768.5 meV/atom
total DFT energy (no corrections) = -4.8049 eV/atom
ΔE to the lowest computed polymorph = 823 meV per atom
calculated density = 8.322 g/cm³

[6]
A relaxed ScReB2Sb crystal, computed with GGA-PBEsol.

abc: 4.163 4.163 5.204
angles: 90.00 90.00 90.00
Site moments in Bohr magnetons follow the coordinates.
Fractional positions:
Sc  0.000  0.000  0.000  0.07
Re  0.500  0.500  0.500  -1.85
B  0.000  0.500  0.000  0.05
B  0.500  0.000  0.000  0.05
Sb  0.000  0.000  0.500  0.02

Computed properties:
magnetic moment = 0.371 μB per atom
volume = 18.04 Å³ per atom
total DFT energy (no corrections) = -5.4740 eV/atom
ΔE_f (raw) = 2.23 eV/atom
calculated density = 6.896 g/cm³

[7]
A relaxed Mo2IrBr crystal, computed with GGA-PBEsol.

abc: 2.851 4.620 4.620
angles: 90.00 90.00 90.00
Fractional positions:
Mo  0.000  0.500  0.000
Mo  0.000  0.000  0.500
Ir  0.500  0.500  0.500
Br  0.500  0.000  0.000

Computed properties:
magnetic moment = 0.000 μB per atom
volume = 15.21 Å³ per atom
total DFT energy (no corrections) = -8.3385 eV/atom
ΔE_f (raw) = 0.47 eV/atom
ΔE to the lowest computed polymorph = 70 meV per atom
calculated density = 12.663 g/cm³

[8]
A relaxed LiYBr4 crystal, computed with GGA-PBEsol.

abc: 6.224 6.224 6.224
angles: 60.00 60.00 60.00
Site moments in Bohr magnetons follow the coordinates.
Fractional positions:
Br  0.375  0.375  0.375  -0.05
Br  0.375  0.375  0.875  -0.05
Br  0.875  0.375  0.375  -0.05
Br  0.375  0.875  0.375  -0.05
Li  0.750  0.750  0.750  0.01
Y  0.000  0.000  0.000  0.28

Computed properties:
magnetic moment = 0.063 μB per atom
volume = 28.41 Å³ per atom
total DFT energy (no corrections) = -2.8361 eV/atom
ΔE_f (raw) = -0.12 eV/atom
calculated density = 4.047 g/cm³

[9]
A relaxed Fe2CoSi crystal, computed with GGA-PBEsol.

abc: 3.445 3.445 4.327
angles: 113.46 113.46 90.00
Site moments in Bohr magnetons follow the coordinates.
Fractional positions:
Si  0.500  0.500  0.000  -0.07
Co  0.000  0.000  0.000  0.98
Fe  0.750  0.250  0.500  1.95
Fe  0.250  0.750  0.500  1.95

Computed properties:
magnetic moment = 1.192 μB per atom
volume = 10.61 Å³ per atom
total DFT energy (no corrections) = -8.1629 eV/atom
ΔE_f (raw) = -0.31 eV/atom
calculated density = 7.774 g/cm³

[10]
A relaxed Li3CdRh crystal, computed with GGA-PBEsol.

abc: 4.556 4.556 4.556
angles: 90.00 90.00 90.00
Fractional positions:
Li  0.000  0.500  0.000
Li  0.000  0.000  0.500
Li  0.500  0.000  0.000
Rh  0.000  0.000  0.000
Cd  0.500  0.500  0.500

Computed properties:
magnetic moment = 0.000 μB per atom
volume = 18.92 Å³ per atom
calculated formation energy = 321.7 meV/atom
total DFT energy (no corrections) = -2.7254 eV/atom
calculated density = 4.146 g/cm³

[11]
A relaxed Cs2AgF2 crystal, computed with GGA-PBEsol.

abc: 5.764 5.764 6.760
angles: 115.23 115.23 90.00
Fractional positions:
Cs  0.250  0.750  0.500
Cs  0.750  0.250  0.500
Ag  0.000  0.000  0.000
F  0.212  0.212  0.425
F  0.788  0.788  0.575

Computed properties:
magnetic moment = 0.000 μB per atom
volume = 35.84 Å³ per atom
total DFT energy (no corrections) = -3.3762 eV/atom
ΔE_f (raw) = -1.57 eV/atom
calculated density = 3.815 g/cm³

[12]
A relaxed Te2IrPt crystal, computed with GGA-PBEsol.

abc: 3.070 4.932 5.837
angles: 114.99 105.24 90.00
Fractional positions:
Ir  0.502  0.502  0.004
Pt  0.236  0.736  0.471
Te  0.984  0.984  0.968
Te  0.778  0.278  0.557

Computed properties:
magnetic moment = 0.000 μB per atom
volume = 19.16 Å³ per atom
total DFT energy (no corrections) = -5.6357 eV/atom
ΔE_f (raw) = 0.32 eV/atom
ΔE to the lowest computed polymorph = 435 meV per atom
calculated density = 13.920 g/cm³

[13]
A relaxed Al3IrBr crystal, computed with GGA-PBEsol.

abc: 4.699 4.699 4.699
angles: 90.00 90.00 90.00
Fractional positions:
Ir  0.500  0.500  0.500
Al  0.000  0.500  0.000
Al  0.000  0.000  0.500
Al  0.500  0.000  0.000
Br  0.000  0.000  0.000

Computed properties:
magnetic moment = 0.000 μB per atom
volume = 20.75 Å³ per atom
total DFT energy (no corrections) = -3.3879 eV/atom
ΔE_f (raw) = 1.41 eV/atom
calculated density = 5.650 g/cm³

[14]
A relaxed OsSOF2 crystal, computed with GGA-PBEsol.

abc: 3.307 4.582 4.582
angles: 90.00 90.00 90.00
Site moments in Bohr magnetons follow the coordinates.
Fractional positions:
S  0.000  0.000  0.000  0.02
Os  0.500  0.500  0.500  3.33
O  0.500  0.000  0.000  0.03
F  0.000  0.000  0.500  0.09
F  0.000  0.500  0.000  0.09

Computed properties:
magnetic moment = 0.809 μB per atom
volume = 13.89 Å³ per atom
total DFT energy (no corrections) = -4.3844 eV/atom
ΔE_f (raw) = 0.76 eV/atom
calculated density = 6.606 g/cm³

[15]
A relaxed RuRhW2 crystal, computed with GGA-PBEsol.

abc: 3.895 3.895 4.706
angles: 114.45 114.45 90.00
Fractional positions:
Ru  0.000  0.000  0.000
Rh  0.500  0.500  0.000
W  0.750  0.250  0.500
W  0.250  0.750  0.500

Computed properties:
magnetic moment = 0.000 μB per atom
volume = 14.47 Å³ per atom
calculated formation energy = -73.6 meV/atom
total DFT energy (no corrections) = -11.5550 eV/atom
ΔE to the lowest computed polymorph = 0 meV per atom
calculated density = 16.401 g/cm³

[16]
A relaxed BaLaMo2 crystal, computed with GGA-PBEsol.

abc: 3.566 5.325 6.437
angles: 114.43 106.08 90.00
Fractional positions:
Ba  0.522  0.022  0.043
La  0.744  0.744  0.488
Mo  0.938  0.438  0.876
Mo  0.296  0.296  0.593

Computed properties:
magnetic moment = 0.000 μB per atom
volume = 26.51 Å³ per atom
calculated formation energy = 673.2 meV/atom
total DFT energy (no corrections) = -7.0845 eV/atom
calculated density = 7.331 g/cm³

[17]
A relaxed TlCdGe2Pt crystal, computed with GGA-PBEsol.

abc: 4.939 4.939 5.284
angles: 90.00 90.00 90.00
Fractional positions:
Tl  0.000  0.000  0.500
Ge  0.000  0.500  0.000
Ge  0.500  0.000  0.000
Pt  0.500  0.500  0.500
Cd  0.000  0.000  0.000

Computed properties:
magnetic moment = 0.000 μB per atom
volume = 25.78 Å³ per atom
calculated formation energy = 1118.0 meV/atom
total DFT energy (no corrections) = -3.0157 eV/atom
calculated density = 8.465 g/cm³

[18]
A relaxed CrTe2IrC crystal, computed with GGA-PBEsol.

abc: 3.525 5.014 5.014
angles: 90.00 90.00 90.00
Site moments in Bohr magnetons follow the coordinates.
Fractional positions:
Cr  0.000  0.000  0.000  0.60
C  0.500  0.000  0.000  -0.06
Ir  0.500  0.500  0.500  -0.04
Te  0.000  0.000  0.500  -0.03
Te  0.000  0.500  0.000  -0.03

Computed properties:
magnetic moment = 0.086 μB per atom
volume = 17.72 Å³ per atom
total DFT energy (no corrections) = -6.2773 eV/atom
ΔE_f (raw) = 1.07 eV/atom
calculated density = 9.585 g/cm³

[19]
A relaxed LiSiIr2 crystal, computed with GGA-PBEsol.

abc: 4.207 4.207 4.207
angles: 60.00 60.00 60.00
Fractional positions:
Ir  0.000  0.000  0.000
Ir  0.750  0.750  0.750
Li  0.500  0.500  0.500
Si  0.250  0.250  0.250

Computed properties:
magnetic moment = 0.000 μB per atom
volume = 13.16 Å³ per atom
total DFT energy (no corrections) = -6.9524 eV/atom
ΔE_f (raw) = -0.11 eV/atom
calculated density = 13.227 g/cm³

[20]
A relaxed KNiAs2 crystal, computed with GGA-PBEsol.

abc: 4.153 5.526 5.526
angles: 60.88 67.93 67.93
Fractional positions:
As  0.142  0.858  0.858
As  0.297  0.203  0.203
K  0.509  0.491  0.491
Ni  0.552  0.948  0.948

Computed properties:
magnetic moment = 0.000 μB per atom
volume = 24.93 Å³ per atom
calculated formation energy = 109.7 meV/atom
total DFT energy (no corrections) = -4.2662 eV/atom
ΔE to the lowest computed polymorph = 433 meV per atom
calculated density = 4.123 g/cm³

[21]
A relaxed YCu5Sn crystal, computed with GGA-PBEsol.

abc: 4.913 8.106 10.434
angles: 90.00 90.00 90.00
Fractional positions:
Y  0.750  0.749  0.438
Y  0.250  0.251  0.562
Y  0.250  0.751  0.938
Y  0.750  0.249  0.062
Cu  0.750  0.683  0.758
Cu  0.250  0.317  0.242
Cu  0.250  0.817  0.258
Cu  0.750  0.183  0.742
Cu  0.001  0.931  0.688
Cu  0.999  0.069  0.312
Cu  0.999  0.569  0.188
Cu  0.501  0.069  0.312
Cu  0.001  0.431  0.812
Cu  0.499  0.931  0.688
Cu  0.499  0.431  0.812
Cu  0.501  0.569  0.188
Cu  0.750  0.583  0.983
Cu  0.250  0.417  0.017
Cu  0.250  0.917  0.483
Cu  0.750  0.083  0.517
Cu  0.750  0.941  0.898
Cu  0.250  0.059  0.102
Cu  0.250  0.559  0.398
Cu  0.750  0.441  0.602
Sn  0.750  0.862  0.139
Sn  0.250  0.138  0.861
Sn  0.250  0.638  0.639
Sn  0.750  0.362  0.361

Computed properties:
magnetic moment = 0.000 μB per atom
volume = 14.84 Å³ per atom
calculated formation energy = -278.0 meV/atom
total DFT energy (no corrections) = -4.9568 eV/atom
calculated density = 8.397 g/cm³

[22]
A relaxed Sr8SnPb3O16 crystal, computed with GGA-PBEsol.

abc: 5.935 5.935 12.560
angles: 90.00 90.00 90.00
Fractional positions:
Sr  0.500  0.000  0.857
Sr  0.000  0.500  0.857
Sr  0.500  0.000  0.143
Sr  0.000  0.500  0.143
Sr  0.000  0.000  0.648
Sr  0.500  0.500  0.645
Sr  0.000  0.000  0.352
Sr  0.500  0.500  0.355
Sn  0.000  0.000  0.000
Pb  0.500  0.000  0.500
Pb  0.000  0.500  0.500
Pb  0.500  0.500  0.000
O  0.000  0.000  0.836
O  0.500  0.500  0.831
O  0.000  0.000  0.164
O  0.500  0.500  0.169
O  0.500  0.000  0.671
O  0.000  0.500  0.671
O  0.500  0.000  0.329
O  0.000  0.500  0.329
O  0.244  0.756  0.000
O  0.756  0.244  0.000
O  0.244  0.244  0.000
O  0.756  0.756  0.000
O  0.251  0.251  0.500
O  0.749  0.749  0.500
O  0.251  0.749  0.500
O  0.749  0.251  0.500

Computed properties:
magnetic moment = 0.000 μB per atom
volume = 15.80 Å³ per atom
total DFT energy (no corrections) = -6.2097 eV/atom
ΔE_f (raw) = -2.10 eV/atom
calculated density = 6.370 g/cm³

[23]
A relaxed Mn2BeHg crystal, computed with GGA-PBEsol.

abc: 2.844 4.517 4.517
angles: 108.45 90.00 90.00
Site moments in Bohr magnetons follow the coordinates.
Fractional positions:
Be  0.500  0.500  0.500  -0.11
Mn  0.000  0.000  0.500  3.03
Mn  0.000  0.500  0.000  3.03
Hg  0.500  0.000  0.000  -0.04

Computed properties:
magnetic moment = 1.499 μB per atom
volume = 13.76 Å³ per atom
calculated formation energy = 453.2 meV/atom
total DFT energy (no corrections) = -5.5691 eV/atom
ΔE to the lowest computed polymorph = 65 meV per atom
calculated density = 9.638 g/cm³